This record from Alexandria via LeMat-Bulk describes Pm2Hg3Pt2 after structural relaxation. The functional is GGA-PBE.

**Space group**: Cmmm, No. 65
**Total moment**: 0.0 μB per formula unit
**ΔE to the lowest computed polymorph**: 0.000 eV per atom

Cell lengths 10.606, 10.606, 3.784 Å; angles 90.00, 90.00, 156.39 degrees
Atoms (fractional coordinates):
Pm  0.169  0.831  0.000
Pm  0.831  0.169  0.000
Hg  0.000  0.000  0.000
Hg  0.428  0.572  0.500
Hg  0.572  0.428  0.500
Pt  0.293  0.707  0.500
Pt  0.707  0.293  0.500